The following is a DFT calculation (PBE) of a geometry-optimized OsBr2 structure.

Cell and atoms, written as POSCAR:
```
OsBr2
1.0
5.504 0.000 0.000
-2.752 4.767 0.000
0.000 0.000 2.669
Br Os
2 1
Cartesian
0.000 3.178 0.455 Br
2.752 1.589 2.214 Br
0.000 0.000 0.000 Os
```

Calculated values
Polymorph energy (0 for the lowest one): 1359 meV/atom
Formation energy without anion corrections: 1645 meV/atom
Total DFT energy (no corrections): -9.6 eV per cell